The following is a PBE calculation of a geometry-optimized Cd8NiPt2 structure, from the Alexandria database.

abc: 4.439 7.707 7.682
angles: 120.11 106.79 90.00
Element x y z (fractional)
Cd (0.651, 0.871, 0.302)
Cd (0.349, 0.568, 0.698)
Cd (0.141, 0.141, 0.282)
Cd (0.000, 0.312, 0.000)
Cd (0.859, 0.859, 0.718)
Cd (0.651, 0.432, 0.302)
Cd (0.349, 0.129, 0.698)
Cd (0.000, 0.688, 0.000)
Ni (0.500, 0.000, 0.000)
Pt (0.201, 0.701, 0.403)
Pt (0.799, 0.299, 0.597)

Output
- Formation enthalpy at 0 K: -14 kJ per mole of atoms
- Calculated total energy: -2.431 eV per atom
- Crystal system: orthorhombic


The following is a PBE calculation of a geometry-optimized Ac3Bi4Rh4 structure, from the Alexandria database.

abc: 4.784 4.589 13.981
angles: 99.45 99.85 90.00
Element x y z (fractional)
Ac (0.358, 0.858, 0.716)
Ac (0.642, 0.142, 0.284)
Ac (0.000, 0.000, 0.000)
Bi (0.252, 0.252, 0.504)
Bi (0.097, 0.597, 0.193)
Bi (0.903, 0.403, 0.807)
Bi (0.748, 0.748, 0.496)
Rh (0.804, 0.304, 0.609)
Rh (0.452, 0.452, 0.904)
Rh (0.548, 0.548, 0.096)
Rh (0.196, 0.696, 0.391)

Output
- Formation enthalpy at 0 K: -54 kJ per mole of atoms
- Calculated total energy: -5.761 eV per atom
- Crystal system: orthorhombic
- Excess energy over the best structure of this formula in the dataset: 24 meV per atom


> The lowest calculated total energy belongs to which entry?

Ac3Bi4Rh4